Here is crystalline LaZrSe2 at its relaxed geometry from Alexandria. Energies are from GGA-PBEsol.

Calculated values
- Energy relative to the elements, uncorrected: -1.1025 eV per atom
- Fermi-level density of states: 0.73 states/eV/atom
- Total moment: 0.00 μB per formula unit
- Energy above the lowest structure with this stoichiometry: 0.478 eV/atom

Lattice parameters (Å, degrees): 3.728 3.728 27.330 90.00 90.00 120.00
Element x y z (fractional)
La1 0.000 0.000 0.000
La2 0.333 0.667 0.667
La3 0.667 0.333 0.333
Zr1 0.000 0.000 0.500
Zr2 0.333 0.667 0.167
Zr3 0.667 0.333 0.833
Se1 0.000 0.000 0.107
Se2 0.000 0.000 0.893
Se3 0.333 0.667 0.560
Se4 0.333 0.667 0.774
Se5 0.667 0.333 0.226
Se6 0.667 0.333 0.440

Here is crystalline ScSi2Rh at its relaxed geometry from Alexandria. Energies are from GGA-PBEsol.

Calculated values
- Energy relative to the elements, uncorrected: -0.5490 eV per atom
- Fermi-level density of states: 0.48 states/eV/atom
- Total moment: 0.00 μB per formula unit

Lattice parameters (Å, degrees): 2.861 4.887 8.781 90.00 90.00 90.00
Element x y z (fractional)
Sc1 0.000 0.000 0.000
Sc2 0.500 0.500 0.500
Si1 0.000 0.500 0.225
Si2 0.000 0.500 0.775
Si3 0.500 0.000 0.275
Si4 0.500 0.000 0.725
Rh1 0.000 0.000 0.500
Rh2 0.500 0.500 0.000

Here is crystalline Cu3B4Pb2O11 at its relaxed geometry from Alexandria. Energies are from GGA-PBEsol.

Calculated values
- Energy relative to the elements, uncorrected: -1.6217 eV per atom
- Fermi-level density of states: 0.04 states/eV/atom
- Total moment: 3.05 μB per formula unit

Lattice parameters (Å, degrees): 6.790 4.696 15.408 90.00 108.72 90.00
Element x y z (fractional)
Cu1 0.000 0.000 0.000
Cu2 0.000 0.000 0.500
Cu3 0.290 0.476 0.442
Cu4 0.290 0.524 0.942
Cu5 0.710 0.476 0.058
Cu6 0.710 0.524 0.558
B1 0.141 0.012 0.839
B2 0.141 0.988 0.339
B3 0.462 0.052 0.597
B4 0.462 0.948 0.097
B5 0.538 0.052 0.903
B6 0.538 0.948 0.403
B7 0.859 0.012 0.661
B8 0.859 0.988 0.161
Pb1 0.209 0.426 0.193
Pb2 0.209 0.574 0.693
Pb3 0.791 0.426 0.307
Pb4 0.791 0.574 0.807
O1 0.000 0.112 0.250
O2 0.000 0.888 0.750
O3 0.092 0.172 0.409
O4 0.092 0.828 0.909
O5 0.103 0.308 0.847
O6 0.103 0.692 0.347
O7 0.274 0.067 0.091
O8 0.274 0.933 0.591
O9 0.356 0.055 0.339
O10 0.356 0.945 0.839
O11 0.475 0.288 0.547
O12 0.475 0.712 0.047
O13 0.525 0.288 0.953
O14 0.525 0.712 0.453
O15 0.644 0.055 0.161
O16 0.644 0.945 0.661
O17 0.726 0.067 0.409
O18 0.726 0.933 0.909
O19 0.897 0.308 0.653
O20 0.897 0.692 0.153
O21 0.908 0.172 0.091
O22 0.908 0.828 0.591

Here is crystalline GaCuSb2Te at its relaxed geometry from Alexandria. Energies are from GGA-PBEsol.

Calculated values
- Energy relative to the elements, uncorrected: 0.9098 eV per atom
- Fermi-level density of states: 0.81 states/eV/atom
- Total moment: 0.00 μB per formula unit
- Energy above the lowest structure with this stoichiometry: 0.489 eV/atom

Lattice parameters (Å, degrees): 5.173 5.173 5.277 90.00 90.00 90.00
Element x y z (fractional)
Ga1 0.000 0.000 0.000
Cu1 0.500 0.500 0.500
Sb1 0.000 0.500 0.000
Sb2 0.500 0.000 0.000
Te1 0.000 0.000 0.500

Here is crystalline CrPClF2 at its relaxed geometry from Alexandria. Energies are from GGA-PBEsol.

Calculated values
- Energy relative to the elements, uncorrected: -0.5692 eV per atom
- Fermi-level density of states: 0.35 states/eV/atom
- Total moment: 5.47 μB per formula unit

Lattice parameters (Å, degrees): 3.792 3.792 7.287 90.00 90.00 90.00
Element x y z (fractional)
Cr1 0.000 0.000 0.000
P1 0.500 0.500 0.500
Cl1 0.500 0.500 0.000
F1 0.000 0.500 0.500
F2 0.500 0.000 0.500

Here is crystalline GaAgSn2Cl at its relaxed geometry from Alexandria. Energies are from GGA-PBEsol.

Calculated values
- Energy relative to the elements, uncorrected: 0.5345 eV per atom
- Fermi-level density of states: 0.62 states/eV/atom
- Total moment: 0.00 μB per formula unit

Lattice parameters (Å, degrees): 5.249 5.249 5.068 90.00 90.00 90.00
Element x y z (fractional)
Ga1 0.000 0.000 0.000
Ag1 0.500 0.500 0.000
Sn1 0.000 0.500 0.500
Sn2 0.500 0.000 0.500
Cl1 0.000 0.000 0.500

Here is crystalline NiH10Se2O10 at its relaxed geometry from Alexandria. Energies are from GGA-PBEsol.

Calculated values
- Total moment: 2.03 μB per formula unit
- Electronic total energy: -242.47 eV/cell

Lattice parameters (Å, degrees): 8.044 8.044 10.871 122.80 122.80 54.34
Element x y z (fractional)
Ni1 0.041 0.959 0.750
Ni2 0.959 0.041 0.250
H1 0.043 0.601 0.780
H2 0.244 0.625 0.164
H3 0.247 0.401 0.936
H4 0.255 0.283 0.022
H5 0.283 0.255 0.522
H6 0.326 0.550 0.662
H7 0.375 0.756 0.336
H8 0.399 0.957 0.720
H9 0.401 0.247 0.436
H10 0.450 0.674 0.838
H11 0.550 0.326 0.162
H12 0.599 0.753 0.564
H13 0.601 0.043 0.280
H14 0.625 0.244 0.664
H15 0.674 0.450 0.338
H16 0.717 0.745 0.478
H17 0.745 0.717 0.978
H18 0.753 0.599 0.064
H19 0.756 0.375 0.836
H20 0.957 0.399 0.220
Se1 0.003 0.735 0.393
Se2 0.265 0.997 0.107
Se3 0.735 0.003 0.893
Se4 0.997 0.265 0.607
O1 0.052 0.158 0.178
O2 0.107 0.184 0.477
O3 0.133 0.435 0.768
O4 0.158 0.052 0.678
O5 0.184 0.107 0.977
O6 0.230 0.770 0.250
O7 0.306 0.385 0.039
O8 0.309 0.691 0.750
O9 0.385 0.306 0.539
O10 0.435 0.133 0.268
O11 0.565 0.867 0.732
O12 0.615 0.694 0.461
O13 0.691 0.309 0.250
O14 0.694 0.615 0.961
O15 0.770 0.230 0.750
O16 0.816 0.893 0.023
O17 0.842 0.948 0.322
O18 0.867 0.565 0.232
O19 0.893 0.816 0.523
O20 0.948 0.842 0.822

Here is crystalline Al2FeBr at its relaxed geometry from Alexandria. Energies are from GGA-PBEsol.

Calculated values
- Energy relative to the elements, uncorrected: 0.3233 eV per atom
- Fermi-level density of states: 0.63 states/eV/atom
- Total moment: 2.30 μB per formula unit
- Energy above the lowest structure with this stoichiometry: 0.227 eV/atom

Lattice parameters (Å, degrees): 4.834 4.834 2.881 90.00 90.00 90.00
Element x y z (fractional)
Al1 0.000 0.500 0.000
Al2 0.500 0.000 0.000
Fe1 0.000 0.000 0.500
Br1 0.500 0.500 0.500

Here is crystalline CsInHg2S at its relaxed geometry from Alexandria. Energies are from GGA-PBEsol.

Calculated values
- Energy relative to the elements, uncorrected: 0.1491 eV per atom
- Fermi-level density of states: 0.73 states/eV/atom
- Total moment: 0.00 μB per formula unit

Lattice parameters (Å, degrees): 5.285 5.285 6.231 90.00 90.00 90.00
Element x y z (fractional)
Cs1 0.000 0.000 0.000
In1 0.500 0.500 0.000
Hg1 0.000 0.500 0.500
Hg2 0.500 0.000 0.500
S1 0.000 0.000 0.500

Here is crystalline Mn2BeCu at its relaxed geometry from Alexandria. Energies are from GGA-PBEsol.

Calculated values
- Fermi-level density of states: 0.94 states/eV/atom
- Total moment: 0.00 μB per formula unit
- Electronic total energy: -54.35 eV/cell

Lattice parameters (Å, degrees): 2.899 3.593 7.671 90.00 90.00 90.00
Element x y z (fractional)
Mn1 0.000 0.000 0.232
Mn2 0.000 0.000 0.768
Mn3 0.500 0.500 0.232
Mn4 0.500 0.500 0.768
Be1 0.000 0.500 0.000
Be2 0.500 0.000 0.000
Cu1 0.000 0.500 0.500
Cu2 0.500 0.000 0.500

Here is crystalline TlH3I at its relaxed geometry from Alexandria. Energies are from GGA-PBEsol.

Calculated values
- Fermi-level density of states: 0.17 states/eV/atom
- Total moment: 0.00 μB per formula unit
- Electronic total energy: -10.61 eV/cell

Lattice parameters (Å, degrees): 4.227 4.227 4.227 90.00 90.00 90.00
Element x y z (fractional)
Tl1 0.000 0.000 0.000
H1 0.000 0.500 0.500
H2 0.500 0.000 0.500
H3 0.500 0.500 0.000
I1 0.500 0.500 0.500

Here is crystalline Na3TeH at its relaxed geometry from Alexandria. Energies are from GGA-PBEsol.

Calculated values
- Fermi-level density of states: 0.00 states/eV/atom
- Total moment: 0.00 μB per formula unit
- Electronic total energy: -14.19 eV/cell

Lattice parameters (Å, degrees): 4.694 4.694 4.694 90.00 90.00 90.00
Element x y z (fractional)
Na1 0.000 0.000 0.500
Na2 0.000 0.500 0.000
Na3 0.500 0.000 0.000
Te1 0.500 0.500 0.500
H1 0.000 0.000 0.000

Here is crystalline RbBaI2O at its relaxed geometry from Alexandria. Energies are from GGA-PBEsol.

Calculated values
- Energy relative to the elements, uncorrected: -1.3256 eV per atom
- Fermi-level density of states: 0.91 states/eV/atom
- Total moment: 0.12 μB per formula unit

Lattice parameters (Å, degrees): 6.825 6.825 4.503 90.00 90.00 90.00
Element x y z (fractional)
Rb1 0.000 0.000 0.000
Ba1 0.500 0.500 0.500
I1 0.000 0.500 0.500
I2 0.500 0.000 0.500
O1 0.500 0.500 0.000

Here is crystalline HfScHg2 at its relaxed geometry from Alexandria. Energies are from GGA-PBEsol.

Calculated values
- Fermi-level density of states: 0.94 states/eV/atom
- Total moment: 0.85 μB per formula unit
- Electronic total energy: -77.73 eV/cell

Lattice parameters (Å, degrees): 6.893 6.893 6.893 90.00 90.00 90.00
Element x y z (fractional)
Hf1 0.000 0.000 0.000
Hf2 0.000 0.500 0.500
Hf3 0.500 0.000 0.500
Hf4 0.500 0.500 0.000
Sc1 0.000 0.000 0.500
Sc2 0.000 0.500 0.000
Sc3 0.500 0.000 0.000
Sc4 0.500 0.500 0.500
Hg1 0.250 0.250 0.250
Hg2 0.250 0.250 0.750
Hg3 0.250 0.750 0.250
Hg4 0.250 0.750 0.750
Hg5 0.750 0.250 0.250
Hg6 0.750 0.250 0.750
Hg7 0.750 0.750 0.250
Hg8 0.750 0.750 0.750

Here is crystalline HfCd3Mo at its relaxed geometry from Alexandria. Energies are from GGA-PBEsol.

Calculated values
- Fermi-level density of states: 0.73 states/eV/atom
- Total moment: 0.00 μB per formula unit
- Electronic total energy: -18.72 eV/cell

Lattice parameters (Å, degrees): 5.003 5.003 5.003 90.00 90.00 90.00
Element x y z (fractional)
Hf1 0.000 0.000 0.000
Cd1 0.000 0.500 0.500
Cd2 0.500 0.000 0.500
Cd3 0.500 0.500 0.000
Mo1 0.500 0.500 0.500

Here is crystalline HfZnSbTe2 at its relaxed geometry from Alexandria. Energies are from GGA-PBEsol.

Calculated values
- Energy relative to the elements, uncorrected: 0.2097 eV per atom
- Fermi-level density of states: 0.79 states/eV/atom
- Total moment: 0.00 μB per formula unit

Lattice parameters (Å, degrees): 5.440 5.440 5.525 90.00 90.00 90.00
Element x y z (fractional)
Hf1 0.000 0.000 0.000
Zn1 0.500 0.500 0.500
Sb1 0.000 0.000 0.500
Te1 0.000 0.500 0.000
Te2 0.500 0.000 0.000

Here is crystalline KSr2BH at its relaxed geometry from Alexandria. Energies are from GGA-PBEsol.

Calculated values
- Fermi-level density of states: 0.69 states/eV/atom
- Total moment: 0.78 μB per formula unit
- Electronic total energy: -12.39 eV/cell

Lattice parameters (Å, degrees): 5.107 5.107 4.666 90.00 90.00 90.00
Element x y z (fractional)
K1 0.000 0.000 0.000
Sr1 0.000 0.500 0.500
Sr2 0.500 0.000 0.500
B1 0.500 0.500 0.000
H1 0.000 0.000 0.500

Here is crystalline Co3N at its relaxed geometry from Alexandria. Energies are from GGA-PBEsol.

Calculated values
- Energy relative to the elements, uncorrected: -0.0519 eV per atom
- Fermi-level density of states: 1.22 states/eV/atom
- Total moment: 2.47 μB per formula unit

Lattice parameters (Å, degrees): 4.462 4.462 4.276 90.00 90.00 120.00
Element x y z (fractional)
Co1 0.000 0.325 0.000
Co2 0.000 0.675 0.500
Co3 0.325 0.000 0.000
Co4 0.325 0.325 0.500
Co5 0.675 0.000 0.500
Co6 0.675 0.675 0.000
N1 0.333 0.667 0.250
N2 0.667 0.333 0.750

Here is crystalline La2Cu at its relaxed geometry from Alexandria. Energies are from GGA-PBEsol.

Calculated values
- Fermi-level density of states: 0.93 states/eV/atom
- Total moment: 0.00 μB per formula unit
- Electronic total energy: -60.65 eV/cell

Lattice parameters (Å, degrees): 3.882 12.522 6.828 90.00 90.00 90.00
Element x y z (fractional)
La1 0.000 0.027 0.000
La2 0.000 0.293 0.186
La3 0.000 0.707 0.686
La4 0.000 0.973 0.500
La5 0.500 0.207 0.686
La6 0.500 0.473 0.500
La7 0.500 0.527 0.000
La8 0.500 0.793 0.186
Cu1 0.000 0.385 0.771
Cu2 0.000 0.615 0.271
Cu3 0.500 0.115 0.271
Cu4 0.500 0.885 0.771

Here is crystalline NaCd2Ag2 at its relaxed geometry from Alexandria. Energies are from GGA-PBEsol.

Calculated values
- Fermi-level density of states: 0.31 states/eV/atom
- Total moment: 0.00 μB per formula unit
- Energy above the lowest structure with this stoichiometry: 0.104 eV/atom

Lattice parameters (Å, degrees): 3.986 3.986 13.585 90.00 90.00 90.00
Element x y z (fractional)
Na1 0.000 0.000 0.000
Na2 0.500 0.500 0.500
Cd1 0.000 0.000 0.397
Cd2 0.000 0.000 0.603
Cd3 0.500 0.500 0.103
Cd4 0.500 0.500 0.897
Ag1 0.000 0.500 0.250
Ag2 0.000 0.500 0.750
Ag3 0.500 0.000 0.250
Ag4 0.500 0.000 0.750